# 1
Entry from Alexandria: Ac2Zn5Au5 after structural relaxation (PBE). Values from VASP.

- N(E_F): 0.5245 states/eV/atom
- E_form: -0.499 eV/atom
- Total magnetic moment: 0.000 μB per formula unit
- Space-group type: No. 47
- Calculated total energy: -36.96 eV per cell

Geometry as Quantum ESPRESSO input:
```
&SYSTEM
  ibrav = 0, nat = 12, ntyp = 3
/
ATOMIC_SPECIES
Ac 227.00 Ac.upf
Zn 65.41 Zn.upf
Au 196.97 Au.upf
CELL_PARAMETERS angstrom
4.4881 0.0000 0.0000
0.0000 5.5506 0.0000
0.0000 0.0000 10.0793
ATOMIC_POSITIONS angstrom
Ac 0.0000 0.0000 0.0000
Ac 0.0000 2.7753 5.0396
Zn 2.2440 0.0000 5.0396
Zn 2.2440 1.3875 2.5259
Zn 2.2440 1.3875 7.5534
Zn 2.2440 4.1631 2.5259
Zn 2.2440 4.1631 7.5534
Au 0.0000 0.0000 3.3433
Au 0.0000 0.0000 6.7360
Au 0.0000 2.7753 1.8239
Au 0.0000 2.7753 8.2554
Au 2.2440 2.7753 0.0000
```


# 2
Entry from Alexandria: Ac2Zn5Au after structural relaxation (PBE). Values from VASP.

- N(E_F): 0.6163 states/eV/atom
- E_form: -0.415 eV/atom
- Total magnetic moment: 0.000 μB per formula unit
- Space-group type: No. 63
- Calculated total energy: -42.36 eV per cell

Geometry as Quantum ESPRESSO input:
```
&SYSTEM
  ibrav = 0, nat = 16, ntyp = 3
/
ATOMIC_SPECIES
Ac 227.00 Ac.upf
Zn 65.41 Zn.upf
Au 196.97 Au.upf
CELL_PARAMETERS angstrom
2.2694 -8.5835 0.0000
2.2694 8.5835 0.0000
0.0000 0.0000 9.3309
ATOMIC_POSITIONS angstrom
Ac 0.0000 0.0000 0.0000
Ac 0.0000 0.0000 4.6654
Ac 2.2694 5.1334 6.9981
Ac 2.2694 -5.1334 2.3327
Zn 2.2694 5.4313 1.0329
Zn 2.2694 5.4313 3.6326
Zn 2.2694 2.6536 0.1230
Zn 2.2694 2.6536 4.5424
Zn 2.2694 1.7118 6.9981
Zn 2.2694 -1.7118 2.3327
Zn 2.2694 -2.6536 4.7884
Zn 2.2694 -2.6536 9.2079
Zn 2.2694 -5.4313 5.6983
Zn 2.2694 -5.4313 8.2980
Au 2.2694 0.9591 2.3327
Au 2.2694 -0.9591 6.9981
```


# 3
Entry from Alexandria: AcZn5Au7 after structural relaxation (PBE). Values from VASP.

- N(E_F): 0.3800 states/eV/atom
- E_form: -0.349 eV/atom
- Total magnetic moment: 0.000 μB per formula unit
- Space-group type: No. 44
- Calculated total energy: -37.95 eV per cell

Geometry as Quantum ESPRESSO input:
```
&SYSTEM
  ibrav = 0, nat = 13, ntyp = 3
/
ATOMIC_SPECIES
Ac 227.00 Ac.upf
Zn 65.41 Zn.upf
Au 196.97 Au.upf
CELL_PARAMETERS angstrom
-2.6863 4.8158 4.6373
2.6863 -4.8158 4.6373
2.6863 4.8158 -4.6373
ATOMIC_POSITIONS angstrom
Ac 0.0000 0.0000 0.0000
Zn 1.3608 2.4138 2.1981
Zn 4.0118 2.4138 2.1981
Zn 0.0000 4.8158 2.3578
Zn -1.3255 2.4020 6.8354
Zn 1.3255 2.4020 6.8354
Au 2.6863 1.9319 -0.1844
Au 2.6863 0.0000 2.0645
Au 2.6863 -1.5084 4.6074
Au 0.0000 0.0000 3.2075
Au 2.6863 1.5084 4.6074
Au 0.0000 0.0000 6.1392
Au 0.0000 2.8839 4.4529
```


# 4
Entry from Alexandria: Ac3Zn2Au after structural relaxation (PBE). Values from VASP.

- N(E_F): 0.8637 states/eV/atom
- E_form: -0.419 eV/atom
- Total magnetic moment: 0.000 μB per formula unit
- Space-group type: No. 164
- Calculated total energy: -20.66 eV per cell

Geometry as Quantum ESPRESSO input:
```
&SYSTEM
  ibrav = 0, nat = 6, ntyp = 3
/
ATOMIC_SPECIES
Ac 227.00 Ac.upf
Zn 65.41 Zn.upf
Au 196.97 Au.upf
CELL_PARAMETERS angstrom
5.5259 0.0000 0.0000
-2.7629 4.7856 0.0000
0.0000 0.0000 6.8086
ATOMIC_POSITIONS angstrom
Ac 0.0000 0.0000 0.0000
Ac 0.0000 3.1904 4.4974
Ac 2.7630 1.5952 2.3112
Zn 0.0000 3.1904 1.0318
Zn 2.7630 1.5952 5.7768
Au 0.0000 0.0000 3.4043
```


# 5
Entry from Alexandria: Ac3Zn9Au2 after structural relaxation (PBE). Values from VASP.

- N(E_F): 0.4842 states/eV/atom
- E_form: -0.366 eV/atom
- Total magnetic moment: 0.000 μB per formula unit
- Space-group type: No. 71
- Calculated total energy: -35.47 eV per cell

Geometry as Quantum ESPRESSO input:
```
&SYSTEM
  ibrav = 0, nat = 14, ntyp = 3
/
ATOMIC_SPECIES
Ac 227.00 Ac.upf
Zn 65.41 Zn.upf
Au 196.97 Au.upf
CELL_PARAMETERS angstrom
-2.3220 4.7023 6.8394
2.3220 -4.7023 6.8394
2.3220 4.7023 -6.8394
ATOMIC_POSITIONS angstrom
Ac 0.0000 0.0000 0.0000
Ac 0.0000 0.0000 4.1796
Ac 0.0000 0.0000 9.4992
Zn 2.3220 -1.3230 2.3033
Zn 2.3220 -2.0518 5.0177
Zn 2.3220 1.3230 2.3033
Zn 0.0000 2.6505 1.8217
Zn 0.0000 4.7023 0.0000
Zn 2.3220 2.0518 5.0177
Zn 0.0000 3.3793 4.5361
Zn 0.0000 6.7540 1.8217
Zn 0.0000 6.0252 4.5361
Au 2.3220 2.6831 0.0000
Au 0.0000 2.0192 6.8394
```


# 6
Entry from Alexandria: Ac3ZnAu after structural relaxation (PBE). Values from VASP.

- N(E_F): 0.9025 states/eV/atom
- E_form: -0.394 eV/atom
- Total magnetic moment: 0.000 μB per formula unit
- Space-group type: No. 63
- Calculated total energy: -37.70 eV per cell

Geometry as Quantum ESPRESSO input:
```
&SYSTEM
  ibrav = 0, nat = 10, ntyp = 3
/
ATOMIC_SPECIES
Ac 227.00 Ac.upf
Zn 65.41 Zn.upf
Au 196.97 Au.upf
CELL_PARAMETERS angstrom
2.7850 -10.6719 0.0000
2.7850 10.6719 0.0000
0.0000 0.0000 5.5734
ATOMIC_POSITIONS angstrom
Ac 2.7850 9.2116 4.1801
Ac 2.7850 5.3697 4.1801
Ac 2.7850 1.5395 4.1801
Ac 2.7850 -1.5395 1.3934
Ac 2.7850 -5.3697 1.3934
Ac 2.7850 -9.2116 1.3934
Zn 2.7850 7.3422 1.3934
Zn 2.7850 -7.3422 4.1801
Au 2.7850 3.4284 1.3934
Au 2.7850 -3.4284 4.1801
```